[1]
Below is crystalline SnHNO2 at its relaxed geometry, with properties calculated at the PBE level.

Cell lengths 3.974, 3.974, 2.830 Å; angles 90.00, 90.00, 90.00 degrees
Site moments in Bohr magnetons follow the coordinates.
Positions (direct):
O  0.000  0.500  0.000  0.09
O  0.500  0.000  0.000  0.09
Sn  0.500  0.500  0.500  -0.01
H  0.000  0.000  0.000  -0.01
N  0.000  0.000  0.500  0.65

Properties
As for the magnetic moment: 1.05 μB per formula unit. The value obtained for the calculated volume is 8.94 A^3/atom. The value obtained for the total DFT energy (no corrections) is -4.34 eV/atom.

=====

[2]
Below is crystalline SnHNO2 at its relaxed geometry, with properties calculated at the PBE level.

Cell lengths 4.042, 4.042, 4.424 Å; angles 90.00, 90.00, 90.00 degrees
Site moments in Bohr magnetons follow the coordinates.
Positions (direct):
O  0.000  0.500  0.000  0.39
Sn  0.000  0.000  0.000  -0.05
O  0.500  0.000  0.000  0.39
H  0.500  0.500  0.500  -0.32
N  0.000  0.000  0.500  1.25

Properties
As for the magnetic moment: 2.01 μB per formula unit. The value obtained for the calculated volume is 14.46 A^3/atom. The value obtained for the total DFT energy (no corrections) is -4.35 eV/atom.

=====

[3]
Below is crystalline SrHNO2 at its relaxed geometry, with properties calculated at the PBE level.

Cell lengths 4.150, 4.150, 2.937 Å; angles 90.00, 90.00, 90.00 degrees
Positions (direct):
Sr  0.500  0.500  0.500
O  0.000  0.500  0.000
H  0.000  0.000  0.000
N  0.000  0.000  0.500
O  0.500  0.000  0.000

Properties
As for the magnetic moment: 0.00 μB per formula unit. The value obtained for the calculated volume is 10.11 A^3/atom. The value obtained for the total DFT energy (no corrections) is -4.50 eV/atom.

=====

[4]
Below is crystalline Sr2H2NO2 at its relaxed geometry, with properties calculated at the PBE level.

Cell lengths 3.827, 5.074, 7.525 Å; angles 57.03, 72.57, 52.48 degrees
Site moments in Bohr magnetons follow the coordinates.
Positions (direct):
Sr  0.610  0.007  0.735  0.02
O  0.427  0.652  0.663  0.02
N  0.000  0.000  0.000  0.57
O  0.573  0.348  0.337  0.02
Sr  0.390  0.993  0.265  0.02
H  0.647  0.421  0.792  0.00
H  0.353  0.579  0.208  0.00

Properties
As for the magnetic moment: 1.00 μB per formula unit. The value obtained for the calculated volume is 13.87 A^3/atom. The value obtained for the total DFT energy (no corrections) is -5.34 eV/atom.

=====

[5]
Below is crystalline SrHNO2 at its relaxed geometry, with properties calculated at the PBE level.

Cell lengths 4.856, 4.856, 5.560 Å; angles 90.00, 90.00, 90.00 degrees
Site moments in Bohr magnetons follow the coordinates.
Positions (direct):
Sr  0.000  0.000  0.000  0.01
H  0.500  0.500  0.500  -0.37
N  0.000  0.000  0.500  1.76
O  0.500  0.000  0.000  0.87
O  0.000  0.500  0.000  0.87

Properties
As for the magnetic moment: 4.00 μB per formula unit. The value obtained for the calculated volume is 26.22 A^3/atom. The value obtained for the total DFT energy (no corrections) is -3.66 eV/atom.

=====

[6]
Below is crystalline SrHN2O at its relaxed geometry, with properties calculated at the PBE level.

Cell lengths 5.437, 5.437, 4.528 Å; angles 90.00, 90.00, 90.00 degrees
Site moments in Bohr magnetons follow the coordinates.
Positions (direct):
O  0.000  0.000  0.500  0.69
N  0.500  0.000  0.000  1.64
N  0.000  0.500  0.000  1.64
H  0.500  0.500  0.500  -0.37
Sr  0.000  0.000  0.000  0.05

Properties
As for the magnetic moment: 5.00 μB per formula unit. The value obtained for the calculated volume is 26.77 A^3/atom. The value obtained for the total DFT energy (no corrections) is -3.65 eV/atom.

=====

[7]
Below is crystalline TaHNO2 at its relaxed geometry, with properties calculated at the PBE level.

Cell lengths 3.210, 3.210, 3.599 Å; angles 90.00, 90.00, 90.00 degrees
Site moments in Bohr magnetons follow the coordinates.
Positions (direct):
N  0.000  0.000  0.500  0.47
O  0.500  0.000  0.000  0.26
O  0.000  0.500  0.000  0.26
H  0.000  0.000  0.000  -0.02
Ta  0.500  0.500  0.500  -0.09

Properties
As for the magnetic moment: 1.07 μB per formula unit. The value obtained for the calculated volume is 7.42 A^3/atom. The value obtained for the total DFT energy (no corrections) is -6.72 eV/atom.

=====

[8]
Below is crystalline TaHNO2 at its relaxed geometry, with properties calculated at the PBE level.

Cell lengths 3.914, 3.914, 4.293 Å; angles 90.00, 90.00, 90.00 degrees
Site moments in Bohr magnetons follow the coordinates.
Positions (direct):
Ta  0.000  0.000  0.000  -0.11
O  0.000  0.500  0.000  0.16
H  0.500  0.500  0.500  -0.34
N  0.000  0.000  0.500  1.03
O  0.500  0.000  0.000  0.16

Properties
As for the magnetic moment: 0.99 μB per formula unit. The value obtained for the calculated volume is 13.15 A^3/atom. The value obtained for the total DFT energy (no corrections) is -7.24 eV/atom.

=====

[9]
Below is crystalline TcHN2O at its relaxed geometry, with properties calculated at the PBE level.

Cell lengths 3.882, 3.882, 3.827 Å; angles 90.00, 90.00, 90.00 degrees
Site moments in Bohr magnetons follow the coordinates.
Positions (direct):
O  0.000  0.000  0.500  -0.06
N  0.500  0.000  0.000  -0.47
N  0.000  0.500  0.000  -0.47
H  0.500  0.500  0.500  0.33
Tc  0.000  0.000  0.000  0.41

Properties
As for the magnetic moment: 0.21 μB per formula unit. The value obtained for the calculated volume is 11.53 A^3/atom. The value obtained for the total DFT energy (no corrections) is -6.23 eV/atom.

=====

[10]
Below is crystalline TcHN2O at its relaxed geometry, with properties calculated at the PBE level.

Cell lengths 2.993, 2.993, 4.163 Å; angles 90.00, 90.00, 90.00 degrees
Positions (direct):
H  0.000  0.000  0.000
Tc  0.500  0.500  0.500
O  0.000  0.000  0.500
N  0.500  0.000  0.000
N  0.000  0.500  0.000

Properties
As for the magnetic moment: 0.00 μB per formula unit. The value obtained for the calculated volume is 7.46 A^3/atom. The value obtained for the total DFT energy (no corrections) is -5.69 eV/atom.

=====

[11]
Below is crystalline TcH2NO2 at its relaxed geometry, with properties calculated at the PBE level.

Cell lengths 6.620, 6.620, 6.620 Å; angles 119.14, 119.14, 91.50 degrees
Site moments in Bohr magnetons follow the coordinates.
Positions (direct):
O  0.100  0.911  0.814  0.12
H  0.486  0.724  0.236  -0.01
N  0.875  0.625  0.250  0.88
O  0.653  0.964  0.314  0.12
Tc  0.375  0.125  0.250  2.25
H  0.276  0.512  0.762  -0.01
N  0.375  0.625  0.750  0.88
H  0.264  0.526  0.264  -0.01
N  0.375  0.125  0.750  0.88
N  0.375  0.625  0.250  0.88
O  0.661  0.347  0.310  0.12
H  0.262  0.000  0.736  -0.01
H  0.488  0.250  0.764  -0.01
H  0.474  0.738  0.738  -0.01
H  0.000  0.736  0.262  -0.01
O  0.036  0.350  0.690  0.12
Tc  0.875  0.125  0.750  2.25
O  0.097  0.286  0.186  0.12
Tc  0.875  0.625  0.750  2.25
H  0.750  0.514  0.238  -0.01
O  0.089  0.903  0.190  0.12
O  0.650  0.339  0.686  0.12
Tc  0.875  0.125  0.250  2.25
O  0.714  0.900  0.810  0.12

Properties
As for the magnetic moment: 3.97 μB per formula unit. The value obtained for the calculated volume is 8.65 A^3/atom. The value obtained for the total DFT energy (no corrections) is -5.86 eV/atom.

=====

[12]
Below is crystalline TcH2NO at its relaxed geometry, with properties calculated at the PBE level.

Cell lengths 2.749, 7.633, 2.749 Å; angles 90.00, 90.00, 90.00 degrees
Positions (direct):
H  0.500  0.000  0.000
H  0.000  0.000  0.500
Tc  0.000  0.500  0.000
N  0.500  0.500  0.500
O  0.000  0.000  0.000

Properties
As for the magnetic moment: 0.01 μB per formula unit. The value obtained for the calculated volume is 11.53 A^3/atom. The value obtained for the total DFT energy (no corrections) is -5.97 eV/atom.